Computed, not measured: crystalline Ti2PtRh at its relaxed geometry at the PBE-GGA level of DFT.

Calculated values
Its density of states at the Fermi level is 19.4 states/eV/cell. As for the space group: C2/m (12). Its crystal system is monoclinic. The calculation puts the formation energy at -0.82 eV per atom. Its calculated volume is 61 Å³/f.u.

a = 9.3595 Å, b = 5.7415 Å, c = 4.6816 Å
α = 90.00°, β = 103.81°, γ = 90.00°
Closest atoms and distances in Å follow each position.
Sites, in units of the cell vectors:
Ti 0.1250 0.2486 0.2507  4 Rh 2.73-2.75, 4 Pt 2.74-2.75, 4 Ti 2.85-2.89
Ti 0.1250 0.7514 0.2507  4 Rh 2.73-2.75, 4 Pt 2.74-2.75, 4 Ti 2.85-2.89
Ti 0.3750 0.2514 0.7493  4 Rh 2.73-2.75, 4 Pt 2.74-2.75, 4 Ti 2.85-2.89
Ti 0.3750 0.7486 0.7493  4 Rh 2.73-2.75, 4 Pt 2.74-2.75, 4 Ti 2.85-2.89
Ti 0.6250 0.2514 0.2507  4 Rh 2.73-2.75, 4 Pt 2.74-2.75, 4 Ti 2.85-2.89
Ti 0.6250 0.7486 0.2507  4 Rh 2.73-2.75, 4 Pt 2.74-2.75, 4 Ti 2.85-2.89
Ti 0.8750 0.2486 0.7493  4 Rh 2.73-2.75, 4 Pt 2.74-2.75, 4 Ti 2.85-2.89
Ti 0.8750 0.7514 0.7493  4 Rh 2.73-2.75, 4 Pt 2.74-2.75, 4 Ti 2.85-2.89
Pt 0.1252 0.5000 0.7497  8 Ti 2.74-2.75, 3 Rh 2.87-2.88, 1 Pt 2.89
Pt 0.3748 0.0000 0.2503  8 Ti 2.74-2.75, 3 Rh 2.87-2.88, 1 Pt 2.89
Pt 0.6252 0.0000 0.7497  8 Ti 2.74-2.75, 3 Rh 2.87-2.88, 1 Pt 2.89
Pt 0.8748 0.5000 0.2503  8 Ti 2.74-2.75, 3 Rh 2.87-2.88, 1 Pt 2.89
Rh 0.1248 0.0000 0.7526  8 Ti 2.73-2.75, 3 Pt 2.87-2.88, 1 Rh 2.90
Rh 0.3752 0.5000 0.2474  8 Ti 2.73-2.75, 3 Pt 2.87-2.88, 1 Rh 2.90
Rh 0.6248 0.5000 0.7526  8 Ti 2.73-2.75, 3 Pt 2.87-2.88, 1 Rh 2.90
Rh 0.8752 0.0000 0.2474  8 Ti 2.73-2.75, 3 Pt 2.87-2.88, 1 Rh 2.90

---

Computed, not measured: crystalline TiPt2Rh at its relaxed geometry at the PBE-GGA level of DFT.

Calculated values
Its density of states at the Fermi level is 13.4 states/eV/cell. As for the space group: I-42d (122). Its crystal system is tetragonal. The calculation puts the formation energy at -0.35 eV per atom. Its calculated volume is 66 Å³/f.u.

a = 3.7931 Å, b = 3.7931 Å, c = 18.3112 Å
α = 90.00°, β = 90.00°, γ = 90.00°
Closest atoms and distances in Å follow each position.
Sites, in units of the cell vectors:
Ti 0.0000 0.0000 0.0000  4 Pt 2.66, 4 Rh 2.68
Ti 0.0000 0.5000 0.2500  4 Pt 2.66, 4 Rh 2.68
Ti 0.5000 0.0000 0.7500  4 Pt 2.66, 4 Rh 2.68
Ti 0.5000 0.5000 0.5000  4 Pt 2.66, 4 Rh 2.68
Pt 0.2478 0.2500 0.6250  2 Rh 2.65, 2 Ti 2.66, 4 Pt 2.67-2.69
Pt 0.2500 0.7478 0.8750  2 Rh 2.65, 2 Ti 2.66, 4 Pt 2.67-2.69
Pt 0.2500 0.7522 0.3750  2 Rh 2.65, 2 Ti 2.66, 4 Pt 2.67-2.69
Pt 0.2522 0.2500 0.1250  2 Rh 2.65, 2 Ti 2.66, 4 Pt 2.67-2.69
Pt 0.7478 0.7500 0.1250  2 Rh 2.65, 2 Ti 2.66, 4 Pt 2.67-2.69
Pt 0.7500 0.2478 0.3750  2 Rh 2.65, 2 Ti 2.66, 4 Pt 2.67-2.69
Pt 0.7500 0.2522 0.8750  2 Rh 2.65, 2 Ti 2.66, 4 Pt 2.67-2.69
Pt 0.7522 0.7500 0.6250  2 Rh 2.65, 2 Ti 2.66, 4 Pt 2.67-2.69
Rh 0.0000 0.0000 0.5000  4 Pt 2.65, 4 Ti 2.68
Rh 0.0000 0.5000 0.7500  4 Pt 2.65, 4 Ti 2.68
Rh 0.5000 0.0000 0.2500  4 Pt 2.65, 4 Ti 2.68
Rh 0.5000 0.5000 0.0000  4 Pt 2.65, 4 Ti 2.68

---

Computed, not measured: crystalline Ti2PtRh at its relaxed geometry at the PBE-GGA level of DFT.

Calculated values
Its density of states at the Fermi level is 4.8 states/eV/cell. As for the space group: P4/mmm (123). Its crystal system is tetragonal. The calculation puts the formation energy at -0.83 eV per atom. Its calculated volume is 61 Å³/f.u.

a = 4.0458 Å, b = 4.0458 Å, c = 3.7266 Å
α = 90.00°, β = 90.00°, γ = 90.00°
Closest atoms and distances in Å follow each position.
Sites, in units of the cell vectors:
Ti 0.0000 0.5000 0.0000  4 Rh 2.75, 4 Pt 2.75, 4 Ti 2.86
Ti 0.5000 0.0000 0.0000  4 Rh 2.75, 4 Pt 2.75, 4 Ti 2.86
Pt 0.0000 0.0000 0.5000  8 Ti 2.75, 4 Rh 2.86
Rh 0.5000 0.5000 0.5000  8 Ti 2.75, 4 Pt 2.86